1.
A relaxed RbNa3O8 crystal, computed with PBE.

Summary:
As for the total energy: -4.504 eV/atom. For the volume, the calculation gives 15.66 Å³/atom.

abc: 6.567 6.567 8.717
angles: 90.00 90.00 90.00
Space group I4/mmm (No. 139)
One atom of each set of equivalent atoms:
Rb: 0.000 0.000 0.000 [2 per cell]
Na: 0.000 0.000 0.500 [2 per cell]
Na: 0.000 0.500 0.250 [4 per cell]
O: 0.235 0.235 0.327 [16 per cell]

---

2.
A relaxed RbNaO2 crystal, computed with PBE.

Summary:
As for the total energy: -3.546 eV/atom. For the volume, the calculation gives 17.34 Å³/atom.

abc: 6.523 6.523 6.523
angles: 90.00 90.00 90.00
Space group Fm-3m (No. 225)
One atom of each set of equivalent atoms:
Rb: 0.000 0.000 0.000 [4 per cell]
Na: 0.000 0.000 0.500 [4 per cell]
O: 0.250 0.250 0.250 [8 per cell]

---

3.
A relaxed RbNaO2 crystal, computed with PBE.

Summary:
As for the total energy: -4.000 eV/atom. For the volume, the calculation gives 19.40 Å³/atom.

abc: 6.043 6.515 7.934
angles: 90.00 96.58 90.00
Space group Cc (No. 9)
One atom of each set of equivalent atoms:
Rb: 0.000 0.042 0.000 [4 per cell]
Na: 0.484 0.049 0.784 [4 per cell]
O: 0.067 0.367 0.557 [4 per cell]
O: 0.200 0.281 0.717 [4 per cell]

---

Number 1: formation energy without anion corrections -0.79 eV/atom, density 2.49 Mg/m³. Number 2: formation energy without anion corrections -0.50 eV/atom, density 3.36 Mg/m³. Number 3: formation energy without anion corrections -0.95 eV/atom, density 3.01 Mg/m³.